Pu2AsP | PBE | relaxed

Geometry as extended XYZ:
```
4
Lattice="-2.2490 -2.6408 0.0750 2.0710 -1.8782 -4.0313 3.1090 -2.5685 2.7938" Properties=species:S:1:pos:R:3 pbc="T T T"
P -1.1245 -1.3204 0.0375
Pu 1.0355 -0.9391 -2.0157
Pu 1.5545 -1.2842 1.3969
As 1.4655 -3.5437 -0.5813
```

Summary:
Symmetry: P4/mmm (123)
Crystal system: tetragonal
Electronic total energy in eV/atom: -10.54
Energy of formation from the pure elements in kJ/mol of atoms: -82